The following is a PBE calculation of a relaxed HoMn3Ge3 crystal, from Alexandria.

Computed properties:
As for the space-group type: Pm-3n, No. 223. For the total magnetic moment, the calculation gives 8.57 μB per formula unit. The excess energy over the best structure of this formula in the dataset is 3.83 eV per formula unit.

Cell: 6.639 6.639 6.639 Å, 90.00 90.00 90.00°
Each line ends with the local moment (μB).
Atoms (fractional coordinates):
Ge 0.250 0.500 0.000  -0.14
Ho 0.000 0.000 0.000  0.03
Ge 0.000 0.750 0.500  -0.14
Ge 0.000 0.250 0.500  -0.14
Ge 0.500 0.000 0.750  -0.14
Mn 0.500 0.750 0.000  2.84
Ho 0.500 0.500 0.500  0.03
Mn 0.000 0.500 0.750  2.84
Mn 0.500 0.250 0.000  2.84
Ge 0.750 0.500 0.000  -0.14
Mn 0.250 0.000 0.500  2.84
Mn 0.750 0.000 0.500  2.84
Ge 0.500 0.000 0.250  -0.14
Mn 0.000 0.500 0.250  2.84

=====

The following is a PBE calculation of a relaxed MgIn2 crystal, from Alexandria.

Computed properties:
As for the space-group type: Cmcm, No. 63. For the total magnetic moment, the calculation gives 0.00 μB per formula unit. As for the total energy: -2.388 eV/atom.

Cell: 5.550 5.550 5.652 Å, 90.00 90.00 120.16°
Atoms (fractional coordinates):
Mg 0.308 0.308 0.250
Mg 0.692 0.692 0.750
In 0.032 0.363 0.750
In 0.968 0.637 0.250
In 0.637 0.968 0.250
In 0.363 0.032 0.750

=====

The following is a PBE calculation of a relaxed Si6Tc2Mo crystal, from Alexandria.

Computed properties:
For the raw formation energy, the calculation gives -0.382 eV/atom. As for the space-group type: C222, No. 21. For the total magnetic moment, the calculation gives 0.00 μB per formula unit.

Cell: 4.610 4.550 6.643 Å, 90.00 90.00 120.44°
Atoms (fractional coordinates):
Tc 0.000 0.500 0.683
Si 0.165 0.329 0.000
Si 0.332 0.166 0.663
Si 0.835 0.166 0.337
Si 0.835 0.671 0.000
Si 0.165 0.834 0.337
Tc 0.500 0.500 0.317
Mo 0.500 0.000 0.000
Si 0.668 0.834 0.663

=====

total magnetic moment of number 3 (Si6Tc2Mo)?
0.00 μB per formula unit

=====

Which value of total magnetic moment does entry 1 give?
8.57 μB per formula unit

=====

total magnetic moment of number 1 (HoMn3Ge3)?
8.57 μB per formula unit